# 1
Below is Al4CuAu after structural relaxation, with properties calculated at the PBE-GGA level.

The energy relative to the elements comes out at -297 meV per atom. For the volume, the calculation gives 17.4 A^3/atom. As for the energy above the most stable polymorph in this dataset: 0 meV per atom. The symmetry is P4/mmm, No. 123.

Cell: 4.149 4.149 6.051 Å, 90.00 90.01 90.00°
Atoms (fractional coordinates):
Al (0.501, 0.997, 0.732)
Al (0.001, 0.497, 0.732)
Al (0.501, 0.997, 0.264)
Al (0.001, 0.497, 0.264)
Au (0.501, 0.497, 0.998)
Cu (0.001, 0.997, 0.498)

# 2
Below is Al4Cu15Au after structural relaxation, with properties calculated at the PBE-GGA level.

The energy relative to the elements comes out at -160 meV per atom. For the volume, the calculation gives 12.7 A^3/atom. The symmetry is P4/mmm, No. 123.

Cell: 3.745 3.745 18.138 Å, 90.00 90.00 90.00°
Atoms (fractional coordinates):
Al (0.000, 0.000, 0.203)
Al (0.000, 0.000, 0.599)
Al (0.000, 0.000, 0.797)
Al (0.000, 0.000, 0.401)
Cu (0.500, 0.500, 0.205)
Cu (0.500, 0.000, 0.500)
Cu (0.000, 0.500, 0.893)
Cu (0.000, 0.500, 0.697)
Cu (0.000, 0.500, 0.500)
Cu (0.000, 0.500, 0.107)
Cu (0.500, 0.500, 0.599)
Cu (0.500, 0.000, 0.893)
Cu (0.500, 0.000, 0.303)
Cu (0.500, 0.000, 0.107)
Cu (0.500, 0.500, 0.795)
Cu (0.500, 0.500, 0.401)
Cu (0.500, 0.000, 0.697)
Cu (0.500, 0.500, 0.000)
Cu (0.000, 0.500, 0.303)
Au (0.000, 0.000, 0.000)